No. 1
Density functional theory data (GGA-PBE) for Al2FeSi2 after structural relaxation.

Its uncorrected energy is -4.987 eV/atom.

The structure belongs to space group I4/mmm (No. 139); the cell edges are 3.362, 3.362 and 12.792 Å and the angles 90.00°, 90.00° and 90.00°. The inequivalent atoms are Al at (0.000, 0.000, 0.095), Fe at (0.000, 0.000, 0.500) and Si at (0.000, 0.500, 0.250).

---

No. 2
Density functional theory data (GGA-PBE) for NdPdPb after structural relaxation.

Its uncorrected energy is -5.214 eV/atom.

The structure belongs to space group P6_3mc (No. 186); the cell edges are 4.8290, 4.8290 and 7.3732 Å and the angles 90.00°, 90.00° and 120.00°. The inequivalent atoms are Nd at (0.0000, 0.0000, 0.0000), Pd at (0.3333, 0.6667, 0.2925) and Pb at (0.3333, 0.6667, 0.7320).

---

No. 3
Density functional theory data (GGA-PBE) for Be3Co after structural relaxation.

Its uncorrected energy is -4.845 eV/atom.

The structure belongs to space group I4/mmm (No. 139); the cell edges are 3.077, 3.077 and 6.933 Å and the angles 90.00°, 90.00° and 90.00°. The inequivalent atoms are Be at (0.000, 0.000, 0.000), Be at (0.000, 0.500, 0.250) and Co at (0.000, 0.000, 0.500).

---

No. 4
Density functional theory data (GGA-PBE) for SmAsN2O after structural relaxation.

Its uncorrected energy is -6.870 eV/atom.

The structure belongs to space group Amm2 (No. 38); the cell edges are 3.860, 5.374 and 5.375 Å and the angles 90.00°, 90.00° and 90.00°. The inequivalent atoms are Sm at (0.000, 0.000, 0.000), As at (0.500, 0.000, 0.498), N at (0.500, 0.248, 0.245) and O at (0.000, 0.000, 0.495).

---

No. 5
Density functional theory data (GGA-PBE) for BaAl2Ir after structural relaxation.

Its uncorrected energy is -4.278 eV/atom.

The structure belongs to space group F-43m (No. 216); the cell edges are 7.035, 7.035 and 7.035 Å and the angles 90.00°, 90.00° and 90.00°. The inequivalent atoms are Ba at (0.000, 0.000, 0.000), Al at (0.000, 0.000, 0.500), Al at (0.250, 0.250, 0.750) and Ir at (0.250, 0.250, 0.250).

---

No. 6
Density functional theory data (GGA-PBE) for NdZrCo after structural relaxation.

The calculation puts the formation energy at 3.10 eV per formula unit.

The structure belongs to space group F-43m (No. 216); the cell edges are 6.456, 6.456 and 6.456 Å and the angles 90.00°, 90.00° and 90.00°. The inequivalent atoms are Nd at (0.000, 0.000, 0.000), Zr at (0.250, 0.250, 0.250) and Co at (0.250, 0.250, 0.750).

---

No. 7
Density functional theory data (GGA-PBE) for CdCoAgGe after structural relaxation.

Its uncorrected energy is -3.582 eV/atom.

The structure belongs to space group F-43m (No. 216); the cell edges are 6.421, 6.421 and 6.421 Å and the angles 90.00°, 90.00° and 90.00°. The inequivalent atoms are Cd at (0.000, 0.000, 0.000), Co at (0.250, 0.250, 0.750), Ag at (0.250, 0.250, 0.250) and Ge at (0.000, 0.000, 0.500).

---

No. 8
Density functional theory data (GGA-PBE) for CoCuSiNi after structural relaxation.

Its uncorrected energy is -5.746 eV/atom.

The structure belongs to space group F-43m (No. 216); the cell edges are 5.576, 5.576 and 5.576 Å and the angles 90.00°, 90.00° and 90.00°. The inequivalent atoms are Co at (0.000, 0.000, 0.000), Cu at (0.250, 0.250, 0.250), Si at (0.250, 0.250, 0.750) and Ni at (0.000, 0.000, 0.500).

---

No. 9
Density functional theory data (GGA-PBE) for PrTcPd after structural relaxation.

The calculation puts the formation energy at 2.60 eV per formula unit.

The structure belongs to space group F-43m (No. 216); the cell edges are 6.589, 6.589 and 6.589 Å and the angles 90.00°, 90.00° and 90.00°. The inequivalent atoms are Pr at (0.000, 0.000, 0.000), Tc at (0.250, 0.250, 0.250) and Pd at (0.250, 0.250, 0.750).

---

No. 10
Density functional theory data (GGA-PBE) for NaSrDyS3 after structural relaxation.

Its uncorrected energy is -5.087 eV/atom.

The structure belongs to space group Pnma (No. 62); the cell edges are 13.827, 4.104 and 11.465 Å and the angles 90.00°, 90.00° and 90.00°. The inequivalent atoms are Na at (0.017, 0.250, 0.086), Sr at (0.249, 0.750, 0.951), Dy at (0.002, 0.250, 0.656), S at (0.106, 0.250, 0.871), S at (0.112, 0.750, 0.550) and S at (0.113, 0.250, 0.273).

---

No. 11
Density functional theory data (GGA-PBE) for DyZnNi after structural relaxation.

The calculation puts the formation energy at -1.39 eV per formula unit.

The structure belongs to space group P-62m (No. 189); the cell edges are 6.9115, 6.9115 and 3.8197 Å and the angles 90.00°, 90.00° and 120.00°. The inequivalent atoms are Dy at (0.0000, 0.5888, 0.0000), Zn at (0.0000, 0.2422, 0.5000), Ni at (0.0000, 0.0000, 0.0000) and Ni at (0.3333, 0.6667, 0.5000).

---

Across the entries above, total magnetization takes the values 2.8, 0.0, 0.0, 0.0, 0.0, 0.0, 3.9, 1.0, 8.0, 0.0, 0.0 Bohr magnetons per cell, respectively.
Across the entries above, calculated volume takes the values 14.5, 24.8, 8.2, 11.1, 21.8, 22.4, 16.5, 10.8, 23.8, 27.1, 17.6 Å³/atom, respectively.